The following is a DFT calculation (GGA-PBE) of LaGaPtBr2 after structural relaxation.

Formation energy from raw total energies, meV/atom: -18
E_tot, eV per cell: -17.4
Space group: P4/mmm, No. 123

Cell lengths 4.874, 4.874, 6.384 Å; angles 90.00, 90.00, 90.00 degrees
Fractional coordinates of all 5 atoms:
La 0.000 0.000 0.000
Ga 0.000 0.000 0.500
Pt 0.500 0.500 0.000
Br 0.000 0.500 0.500
Br 0.500 0.000 0.500

=====

The following is a DFT calculation (GGA-PBE) of ZrFeI2 after structural relaxation.

Formation energy from raw total energies, meV/atom: 589
E_tot, eV per cell: -71.0
Space group: Fm-3m, No. 225
ΔE to the lowest computed polymorph, kJ/mol of formula units: 0

Cell lengths 6.966, 6.966, 6.966 Å; angles 90.00, 90.00, 90.00 degrees
Fractional coordinates of all 16 atoms:
Zr 0.000 0.000 0.000
Zr 0.000 0.500 0.500
Zr 0.500 0.000 0.500
Zr 0.500 0.500 0.000
Fe 0.000 0.000 0.500
Fe 0.000 0.500 0.000
Fe 0.500 0.000 0.000
Fe 0.500 0.500 0.500
I 0.250 0.250 0.250
I 0.250 0.250 0.750
I 0.250 0.750 0.250
I 0.250 0.750 0.750
I 0.750 0.250 0.250
I 0.750 0.250 0.750
I 0.750 0.750 0.250
I 0.750 0.750 0.750

=====

The following is a DFT calculation (GGA-PBE) of Rb4Ac3HoO8 after structural relaxation.

Formation energy from raw total energies, meV/atom: -2545
E_tot, eV per cell: -101.2
Space group: R-3m, No. 166

Cell lengths 7.952, 7.952, 7.952 Å; angles 56.97, 56.97, 56.97 degrees
Fractional coordinates of all 16 atoms:
Rb 0.000 0.000 0.000
Rb 0.000 0.500 0.500
Rb 0.500 0.000 0.500
Rb 0.500 0.500 0.000
Ac 0.000 0.000 0.500
Ac 0.000 0.500 0.000
Ac 0.500 0.000 0.000
Ho 0.500 0.500 0.500
O 0.229 0.229 0.229
O 0.247 0.717 0.717
O 0.283 0.283 0.753
O 0.283 0.753 0.283
O 0.717 0.247 0.717
O 0.717 0.717 0.247
O 0.753 0.283 0.283
O 0.771 0.771 0.771

=====

The following is a DFT calculation (GGA-PBE) of Cs2RbBeNb after structural relaxation.

E_tot, eV per cell: -7.2
Energy relative to the elements, eV/atom: 1.86
Space group: P4/mmm, No. 123

Cell lengths 7.831, 7.831, 6.258 Å; angles 90.00, 90.00, 90.00 degrees
Fractional coordinates of all 5 atoms:
Cs 0.000 0.500 0.000
Cs 0.500 0.000 0.000
Rb 0.000 0.000 0.000
Be 0.500 0.500 0.500
Nb 0.000 0.000 0.500

=====

The following is a DFT calculation (GGA-PBE) of Th2ZnGa4Rh3 after structural relaxation.

E_tot, eV per cell: -57.3
Energy relative to the elements, eV/atom: -0.70
Space group: P-4m2, No. 115

Cell lengths 4.125, 4.125, 11.084 Å; angles 90.00, 90.00, 90.00 degrees
Fractional coordinates of all 10 atoms:
Th 0.000 0.500 0.239
Th 0.500 0.000 0.761
Zn 0.000 0.000 0.500
Ga 0.000 0.000 0.000
Ga 0.000 0.500 0.634
Ga 0.500 0.000 0.366
Ga 0.500 0.500 0.000
Rh 0.000 0.500 0.859
Rh 0.500 0.000 0.141
Rh 0.500 0.500 0.500

=====

The following is a DFT calculation (GGA-PBE) of TbPr6Tl3 after structural relaxation.

E_tot, eV per cell: -82.9
Energy relative to the elements, eV/atom: -0.11
Space group: Cmc2_1, No. 36

Cell lengths 9.695, 9.695, 7.903 Å; angles 90.00, 90.00, 111.72 degrees
Fractional coordinates of all 20 atoms:
Tb 0.192 0.808 0.500
Tb 0.808 0.192 0.000
Pr 0.044 0.956 0.804
Pr 0.084 0.460 0.297
Pr 0.232 0.302 0.983
Pr 0.298 0.702 0.938
Pr 0.302 0.232 0.483
Pr 0.460 0.084 0.797
Pr 0.540 0.916 0.297
Pr 0.698 0.768 0.983
Pr 0.702 0.298 0.438
Pr 0.768 0.698 0.483
Pr 0.916 0.540 0.797
Pr 0.956 0.044 0.304
Tl 0.012 0.281 0.655
Tl 0.281 0.012 0.155
Tl 0.448 0.552 0.266
Tl 0.552 0.448 0.766
Tl 0.719 0.988 0.655
Tl 0.988 0.719 0.155